! Pm4Tm3Th, optimized geometry, DFT PBE; values from VASP
&SYSTEM
  ibrav = 0, nat = 8, ntyp = 3
/
ATOMIC_SPECIES
Pm 145.00 Pm.upf
Tm 168.93 Tm.upf
Th 232.04 Th.upf
CELL_PARAMETERS angstrom
11.777 -1.725 0.000
11.777 1.725 0.000
-1.916 0.000 6.507
ATOMIC_POSITIONS crystal
Pm 0.122 0.122 0.365
Pm 0.259 0.259 0.766
Pm 0.741 0.741 0.234
Pm 0.878 0.878 0.635
Tm 0.000 0.000 0.500
Tm 0.122 0.122 0.883
Tm 0.878 0.878 0.117
Th 0.500 0.500 0.000
! * DFT formation energy: 0.175 eV/atom
! * ΔE to the lowest computed polymorph: 136.2 meV/atom



! VFeCoRe, optimized geometry, DFT PBE; values from VASP
&SYSTEM
  ibrav = 0, nat = 4, ntyp = 4
/
ATOMIC_SPECIES
V 50.94 V.upf
Fe 55.84 Fe.upf
Co 58.93 Co.upf
Re 186.21 Re.upf
CELL_PARAMETERS angstrom
0.000 2.950 2.950
2.950 0.000 2.950
2.950 2.950 0.000
ATOMIC_POSITIONS crystal
V 0.000 0.000 0.000
Fe 0.500 0.500 0.500
Co 0.750 0.750 0.750
Re 0.250 0.250 0.250
! * DFT formation energy: 0.007 eV/atom



! Ta2RhBr, optimized geometry, DFT PBE; values from VASP
&SYSTEM
  ibrav = 0, nat = 4, ntyp = 3
/
ATOMIC_SPECIES
Ta 180.95 Ta.upf
Rh 102.91 Rh.upf
Br 79.90 Br.upf
CELL_PARAMETERS angstrom
-1.514 2.382 4.765
1.514 -2.382 4.765
1.514 2.382 -4.765
ATOMIC_POSITIONS crystal
Ta 0.000 0.000 0.000
Ta 0.720 0.220 0.500
Rh 0.244 0.744 0.500
Br 0.494 0.494 0.000
! * ΔE_f (raw): 0.279 eV per atom
! * ΔE to the lowest computed polymorph: 262.3 meV/atom



! LaTcPd2, optimized geometry, DFT PBE; values from VASP
&SYSTEM
  ibrav = 0, nat = 4, ntyp = 3
/
ATOMIC_SPECIES
La 138.91 La.upf
Tc 98.00 Tc.upf
Pd 106.42 Pd.upf
CELL_PARAMETERS angstrom
0.000 3.416 3.416
3.416 0.000 3.416
3.416 3.416 0.000
ATOMIC_POSITIONS crystal
La 0.000 0.000 0.000
Tc 0.500 0.500 0.500
Pd 0.250 0.250 0.250
Pd 0.750 0.750 0.750
! * DFT formation energy: 0.006 eV/atom
! * ΔE to the lowest computed polymorph: 0.0 meV/atom



! NbZn2Ag, optimized geometry, DFT PBE; values from VASP
&SYSTEM
  ibrav = 0, nat = 4, ntyp = 3
/
ATOMIC_SPECIES
Nb 92.91 Nb.upf
Zn 65.41 Zn.upf
Ag 107.87 Ag.upf
CELL_PARAMETERS angstrom
2.865 0.000 0.000
0.000 2.865 0.000
0.000 0.000 7.895
ATOMIC_POSITIONS crystal
Nb 0.000 0.000 0.000
Zn 0.500 0.500 0.254
Zn 0.500 0.500 0.746
Ag 0.000 0.000 0.500
! * DFT formation energy: -0.066 eV/atom



! Ac2Cu2Ru, optimized geometry, DFT PBE; values from VASP
&SYSTEM
  ibrav = 0, nat = 10, ntyp = 3
/
ATOMIC_SPECIES
Ac 227.00 Ac.upf
Cu 63.55 Cu.upf
Ru 101.07 Ru.upf
CELL_PARAMETERS angstrom
5.662 -2.135 0.000
5.662 2.135 0.000
-5.232 0.000 10.334
ATOMIC_POSITIONS crystal
Ac 0.093 0.093 0.384
Ac 0.295 0.295 0.865
Ac 0.705 0.705 0.135
Ac 0.907 0.907 0.616
Cu 0.034 0.034 0.913
Cu 0.385 0.385 0.388
Cu 0.615 0.615 0.612
Cu 0.966 0.966 0.087
Ru 0.434 0.434 0.192
Ru 0.566 0.566 0.808
! * DFT formation energy: -0.116 eV/atom



! LaCo2ReRh, optimized geometry, DFT PBE; values from VASP
&SYSTEM
  ibrav = 0, nat = 5, ntyp = 4
/
ATOMIC_SPECIES
La 138.91 La.upf
Co 58.93 Co.upf
Re 186.21 Re.upf
Rh 102.91 Rh.upf
CELL_PARAMETERS angstrom
4.507 0.000 0.000
0.000 4.507 0.000
0.000 0.000 4.820
ATOMIC_POSITIONS crystal
La 0.000 0.000 0.000
Co 0.000 0.500 0.000
Co 0.500 0.000 0.000
Re 0.500 0.500 0.500
Rh 0.000 0.000 0.500
! * DFT formation energy: 1.972 eV/atom



! CaInI2, optimized geometry, DFT PBE; values from VASP
&SYSTEM
  ibrav = 0, nat = 8, ntyp = 3
/
ATOMIC_SPECIES
Ca 40.08 Ca.upf
In 114.82 In.upf
I 126.90 I.upf
CELL_PARAMETERS angstrom
-4.580 4.580 3.902
4.580 -4.580 3.902
4.580 4.580 -3.902
ATOMIC_POSITIONS crystal
Ca 0.000 0.000 0.000
Ca 0.750 0.250 0.500
In 0.250 0.750 0.500
In 0.500 0.500 0.000
I 0.077 0.125 0.452
I 0.375 0.923 0.048
I 0.673 0.625 0.548
I 0.875 0.327 0.952
! * ΔE_f (raw): -0.754 eV per atom
! * ΔE to the lowest computed polymorph: 38.0 meV/atom